Entry from Alexandria via LeMat-Bulk: a relaxed structure of BeGaCl3 (PBE).

Output
Offset from the most stable computed form: 1055 meV per atom
Mass density: 2.57 g/cm3
Formation energy from raw total energies: -27 meV/atom
Uncorrected energy: -2.49 eV/atom
Calculated volume: 119.6 Å³/f.u.
M_tot: 0.104 μB per atom
N(E_F): 0.439 states/eV per atom

Lattice parameters (Å, degrees): 4.9267 4.9267 4.9267 90.00 90.00 90.00
Space group Pm-3m (No. 221)
One atom of each set of equivalent atoms:
1 Be 0.0000 0.0000 0.0000
2 Ga 0.5000 0.5000 0.5000
3 Cl 0.0000 0.5000 0.5000